[1]
The following is a DFT calculation (PBE) of TlCdIn4Sn2 after structural relaxation.

Unit cell a=8.9249 b=8.9249 c=6.5864 alpha=111.60 beta=111.60 gamma=86.47
Fractional coordinates of all 16 atoms:
Tl  0.0000  0.5000  0.0000
Tl  0.5000  0.0000  0.5000
Cd  0.0000  0.0000  0.0000
Cd  0.0000  0.0000  0.5000
In  0.2459  0.2607  0.5055
In  0.2505  0.7494  0.5046
In  0.2506  0.7495  0.9954
In  0.2607  0.2459  0.0055
In  0.7393  0.7541  0.9945
In  0.7494  0.2505  0.0046
In  0.7495  0.2506  0.4954
In  0.7541  0.7393  0.4945
Sn  0.0000  0.5000  0.5000
Sn  0.5000  0.0000  0.0000
Sn  0.5000  0.5000  0.0000
Sn  0.5000  0.5000  0.5000

## Properties
ΔE_f: 0.59 eV per formula unit

[2]
The following is a DFT calculation (PBE) of VCd2InSn after structural relaxation.

Unit cell a=5.3722 b=5.3722 c=5.1815 alpha=90.00 beta=90.00 gamma=90.00
Fractional coordinates of all 5 atoms:
V  0.0000  0.0000  0.0000
Cd  0.0000  0.5000  0.0000
Cd  0.5000  0.0000  0.0000
In  0.5000  0.5000  0.5000
Sn  0.0000  0.0000  0.5000

## Properties
ΔE_f: 2.54 eV per formula unit

[3]
The following is a DFT calculation (PBE) of YCdInSn after structural relaxation.

Unit cell a=4.4920 b=4.6117 c=4.7883 alpha=90.00 beta=90.00 gamma=90.00
Fractional coordinates of all 4 atoms:
Y  0.0000  0.0000  0.0000
Cd  0.0000  0.5000  0.5000
In  0.5000  0.0000  0.5000
Sn  0.5000  0.5000  0.0000

## Properties
ΔE_f: -1.76 eV per formula unit

[4]
The following is a DFT calculation (PBE) of ZnCdInSn after structural relaxation.

Unit cell a=5.1345 b=5.1345 c=5.1345 alpha=60.00 beta=60.00 gamma=60.00
Fractional coordinates of all 4 atoms:
Zn  0.0000  0.0000  0.0000
Cd  0.5000  0.5000  0.5000
In  0.7500  0.7500  0.7500
Sn  0.2500  0.2500  0.2500

## Properties
ΔE_f: 0.57 eV per formula unit

[5]
The following is a DFT calculation (PBE) of SrCdIn2 after structural relaxation.

Unit cell a=3.9021 b=3.9021 c=7.6823 alpha=90.00 beta=90.00 gamma=90.00
Fractional coordinates of all 4 atoms:
Sr  0.0000  0.0000  0.0000
Cd  0.5000  0.5000  0.2829
In  0.0000  0.0000  0.4927
In  0.5000  0.5000  0.7065

## Properties
ΔE_f: -0.90 eV per formula unit

[6]
The following is a DFT calculation (PBE) of SrCdIn2 after structural relaxation.

Unit cell a=3.8635 b=3.8635 c=7.7016 alpha=90.00 beta=90.00 gamma=90.00
Fractional coordinates of all 4 atoms:
Sr  0.0000  0.0000  0.0000
Cd  0.0000  0.0000  0.5000
In  0.5000  0.5000  0.2946
In  0.5000  0.5000  0.7054

## Properties
ΔE_f: -0.91 eV per formula unit

[7]
The following is a DFT calculation (PBE) of Sr3Cd8In3 after structural relaxation.

Unit cell a=9.3488 b=9.3488 c=9.3488 alpha=149.30 beta=109.77 gamma=78.58
Fractional coordinates of all 14 atoms:
Sr  0.0000  0.0000  0.0000
Sr  0.3052  0.3052  0.0000
Sr  0.6948  0.6948  0.0000
Cd  0.0310  0.6647  0.3663
Cd  0.1400  0.8616  0.2783
Cd  0.2984  0.6647  0.6337
Cd  0.4167  0.1384  0.2783
Cd  0.5833  0.8616  0.7217
Cd  0.7016  0.3353  0.3663
Cd  0.8600  0.1384  0.7217
Cd  0.9690  0.3353  0.6337
In  0.2982  0.5000  0.7982
In  0.5000  0.0000  0.5000
In  0.7018  0.5000  0.2018

## Properties
ΔE_f: -4.00 eV per formula unit

[8]
The following is a DFT calculation (PBE) of Sr2CdIn after structural relaxation.

Unit cell a=10.4670 b=10.4670 c=10.4670 alpha=22.75 beta=22.75 gamma=22.75
Fractional coordinates of all 4 atoms:
Sr  0.2491  0.2491  0.2491
Sr  0.7509  0.7509  0.7509
Cd  0.5000  0.5000  0.5000
In  0.0000  0.0000  0.0000

## Properties
ΔE_f: -0.73 eV per formula unit
Excess energy over the best structure of this formula in the dataset: 0.2115 eV/atom

[9]
The following is a DFT calculation (PBE) of Sr2CdIn after structural relaxation.

Unit cell a=6.7686 b=6.7686 c=5.7431 alpha=112.77 beta=112.77 gamma=34.28
Fractional coordinates of all 4 atoms:
Sr  0.0000  0.0000  0.0000
Sr  0.2019  0.2019  0.6835
Cd  0.4498  0.4498  0.4564
In  0.7585  0.7585  0.2340

## Properties
ΔE_f: -1.27 eV per formula unit
Excess energy over the best structure of this formula in the dataset: 0.0780 eV/atom

[10]
The following is a DFT calculation (PBE) of Sr2CdIn8 after structural relaxation.

Unit cell a=5.0686 b=5.0686 c=12.3464 alpha=90.00 beta=90.00 gamma=90.00
Fractional coordinates of all 11 atoms:
Sr  0.0000  0.0000  0.1873
Sr  0.0000  0.0000  0.8127
Cd  0.0000  0.0000  0.5000
In  0.0000  0.5000  0.0000
In  0.0000  0.5000  0.3689
In  0.0000  0.5000  0.6311
In  0.5000  0.0000  0.0000
In  0.5000  0.0000  0.3689
In  0.5000  0.0000  0.6311
In  0.5000  0.5000  0.2006
In  0.5000  0.5000  0.7994

## Properties
ΔE_f: -2.30 eV per formula unit

[11]
The following is a DFT calculation (PBE) of SrCd4In2 after structural relaxation.

Unit cell a=8.8375 b=8.8375 c=4.6534 alpha=90.00 beta=90.00 gamma=149.34
Fractional coordinates of all 7 atoms:
Sr  0.0000  0.0000  0.0000
Cd  0.1870  0.8130  0.5000
Cd  0.3100  0.6900  0.0000
Cd  0.6900  0.3100  0.0000
Cd  0.8130  0.1870  0.5000
In  0.4157  0.5843  0.5000
In  0.5843  0.4157  0.5000

## Properties
ΔE_f: -1.31 eV per formula unit

[12]
The following is a DFT calculation (PBE) of Sr2CdIn after structural relaxation.

Unit cell a=6.3498 b=6.3498 c=6.3498 alpha=133.16 beta=133.16 gamma=68.41
Fractional coordinates of all 4 atoms:
Sr  0.0000  0.0000  0.0000
Sr  0.7500  0.2500  0.5000
Cd  0.2500  0.7500  0.5000
In  0.5000  0.5000  0.0000

## Properties
ΔE_f: -0.87 eV per formula unit
Excess energy over the best structure of this formula in the dataset: 0.1783 eV/atom

[13]
The following is a DFT calculation (PBE) of SrCd2In after structural relaxation.

Unit cell a=10.9965 b=10.9965 c=10.9965 alpha=153.48 beta=153.48 gamma=37.86
Fractional coordinates of all 8 atoms:
Sr  0.0000  0.0000  0.0000
Sr  0.7500  0.2500  0.5000
Cd  0.2251  0.6250  0.1001
Cd  0.3750  0.4751  0.6001
Cd  0.5249  0.1250  0.8999
Cd  0.8750  0.7749  0.3999
In  0.2500  0.7500  0.5000
In  0.5000  0.5000  0.0000

## Properties
ΔE_f: -0.30 eV per formula unit